1.
# Na2NdGaTe4 (PBE, relaxed)
# Crystal system: monoclinic
# E_form (uncorrected), eV per atom: -0.8291
# Space group: C2/c, No. 15
# Volume, A^3/atom: 31.4
data_Na2NdGaTe4
_cell_length_a 8.950
_cell_length_b 8.950
_cell_length_c 9.235
_cell_angle_alpha 120.81
_cell_angle_beta 120.81
_cell_angle_gamma 91.44
_space_group_name_H-M_alt 'P 1'
_space_group_IT_number 1
loop_
_space_group_symop_operation_xyz
'x,y,z'
loop_
_atom_site_label
_atom_site_type_symbol
_atom_site_fract_x
_atom_site_fract_y
_atom_site_fract_z
_atom_site_occupancy
Na1 Na 0.000 0.000 0.500 1
Na2 Na 0.500 0.500 0.000 1
Na3 Na 0.500 0.000 0.000 1
Na4 Na 0.500 0.000 0.500 1
Nd1 Nd 0.000 0.500 0.000 1
Nd2 Nd 0.000 0.500 0.500 1
Te1 Te 0.260 0.261 0.471 1
Te2 Te 0.747 0.251 0.500 1
Te3 Te 0.740 0.739 0.529 1
Te4 Te 0.249 0.753 0.000 1
Te5 Te 0.253 0.749 0.500 1
Te6 Te 0.761 0.760 0.971 1
Te7 Te 0.751 0.247 0.000 1
Te8 Te 0.239 0.240 0.029 1
Ga1 Ga 0.000 0.000 0.000 1
Ga2 Ga 0.500 0.500 0.500 1

---

2.
# Ba2LiTc (PBE, relaxed)
# Crystal system: orthorhombic
# ΔE_f, meV per atom: 644
# Space group: Amm2, No. 38
# Volume, A^3/atom: 34.2
data_Ba2LiTc
_cell_length_a 4.802
_cell_length_b 4.607
_cell_length_c 6.599
_cell_angle_alpha 69.58
_cell_angle_beta 90.00
_cell_angle_gamma 90.00
_space_group_name_H-M_alt 'P 1'
_space_group_IT_number 1
loop_
_space_group_symop_operation_xyz
'x,y,z'
loop_
_atom_site_label
_atom_site_type_symbol
_atom_site_fract_x
_atom_site_fract_y
_atom_site_fract_z
_atom_site_occupancy
Ba1 Ba 0.000 0.984 0.907 1
Ba2 Ba 0.500 0.262 0.351 1
Tc1 Tc 0.500 0.577 0.720 1
Li1 Li 0.000 0.676 0.522 1

---

3.
# Ta3AgBi (PBE, relaxed)
# Crystal system: cubic
# ΔE_f, meV per atom: 1757
# Space group: Pm-3m, No. 221
# Volume, A^3/atom: 24.4
data_Ta3AgBi
_cell_length_a 4.957
_cell_length_b 4.957
_cell_length_c 4.957
_cell_angle_alpha 90.00
_cell_angle_beta 90.00
_cell_angle_gamma 90.00
_space_group_name_H-M_alt 'P 1'
_space_group_IT_number 1
loop_
_space_group_symop_operation_xyz
'x,y,z'
loop_
_atom_site_label
_atom_site_type_symbol
_atom_site_fract_x
_atom_site_fract_y
_atom_site_fract_z
_atom_site_occupancy
Ta1 Ta 0.000 0.000 0.500 1
Ta2 Ta 0.500 0.000 0.000 1
Ta3 Ta 0.000 0.500 0.000 1
Bi1 Bi 0.500 0.500 0.500 1
Ag1 Ag 0.000 0.000 0.000 1

---

4.
# La3PmAu3 (PBE, relaxed)
# Crystal system: monoclinic
# ΔE_f, meV per atom: -611
# Space group: C2/m, No. 12
# Volume, A^3/atom: 29.7
data_La3PmAu3
_cell_length_a 7.453
_cell_length_b 7.453
_cell_length_c 7.563
_cell_angle_alpha 91.11
_cell_angle_beta 91.11
_cell_angle_gamma 97.76
_space_group_name_H-M_alt 'P 1'
_space_group_IT_number 1
loop_
_space_group_symop_operation_xyz
'x,y,z'
loop_
_atom_site_label
_atom_site_type_symbol
_atom_site_fract_x
_atom_site_fract_y
_atom_site_fract_z
_atom_site_occupancy
La1 La 0.352 0.352 0.623 1
La2 La 0.824 0.176 0.500 1
La3 La 0.254 0.746 0.000 1
La4 La 0.746 0.254 0.000 1
La5 La 0.176 0.824 0.500 1
La6 La 0.648 0.648 0.377 1
Pm1 Pm 0.742 0.742 0.872 1
Pm2 Pm 0.258 0.258 0.128 1
Au1 Au 0.498 0.988 0.729 1
Au2 Au 0.065 0.065 0.814 1
Au3 Au 0.935 0.935 0.186 1
Au4 Au 0.988 0.498 0.729 1
Au5 Au 0.012 0.502 0.271 1
Au6 Au 0.502 0.012 0.271 1

---

5.
# Sr2LiAl2Pt5 (PBE, relaxed)
# Crystal system: tetragonal
# ΔE_f, meV per atom: -739
# Space group: P4/mbm, No. 127
# Volume, A^3/atom: 18.7
data_Sr2LiAl2Pt5
_cell_length_a 3.498
_cell_length_b 10.352
_cell_length_c 10.352
_cell_angle_alpha 90.00
_cell_angle_beta 90.00
_cell_angle_gamma 90.00
_space_group_name_H-M_alt 'P 1'
_space_group_IT_number 1
loop_
_space_group_symop_operation_xyz
'x,y,z'
loop_
_atom_site_label
_atom_site_type_symbol
_atom_site_fract_x
_atom_site_fract_y
_atom_site_fract_z
_atom_site_occupancy
Pt1 Pt 0.500 0.295 0.563 1
Pt2 Pt 0.500 0.000 0.500 1
Pt3 Pt 0.500 0.705 0.437 1
Pt4 Pt 0.500 0.563 0.705 1
Pt5 Pt 0.500 0.937 0.205 1
Pt6 Pt 0.500 0.500 0.000 1
Pt7 Pt 0.500 0.063 0.795 1
Pt8 Pt 0.500 0.205 0.063 1
Pt9 Pt 0.500 0.795 0.937 1
Pt10 Pt 0.500 0.437 0.295 1
Al1 Al 0.000 0.375 0.125 1
Al2 Al 0.000 0.125 0.625 1
Al3 Al 0.000 0.625 0.875 1
Al4 Al 0.000 0.875 0.375 1
Sr1 Sr 0.000 0.324 0.824 1
Sr2 Sr 0.000 0.176 0.324 1
Sr3 Sr 0.000 0.676 0.176 1
Sr4 Sr 0.000 0.824 0.676 1
Li1 Li 0.000 0.000 0.000 1
Li2 Li 0.000 0.500 0.500 1

---

6.
# LiPaS2 (PBE, relaxed)
# Crystal system: monoclinic
# E_form (uncorrected), eV per atom: -1.4734
# Space group: C2/c, No. 15
# Volume, A^3/atom: 20.0
data_LiPaS2
_cell_length_a 5.418
_cell_length_b 5.418
_cell_length_c 6.660
_cell_angle_alpha 66.04
_cell_angle_beta 66.04
_cell_angle_gamma 90.03
_space_group_name_H-M_alt 'P 1'
_space_group_IT_number 1
loop_
_space_group_symop_operation_xyz
'x,y,z'
loop_
_atom_site_label
_atom_site_type_symbol
_atom_site_fract_x
_atom_site_fract_y
_atom_site_fract_z
_atom_site_occupancy
Pa1 Pa 0.875 0.625 0.250 1
Pa2 Pa 0.125 0.375 0.750 1
S1 S 0.380 0.630 0.241 1
S2 S 0.130 0.880 0.741 1
S3 S 0.870 0.120 0.259 1
S4 S 0.620 0.370 0.759 1
Li1 Li 0.376 0.124 0.250 1
Li2 Li 0.624 0.876 0.750 1

---

What are the total energy values for these records? In order: -3.70 -3.39 -6.70 -4.81 -5.04 -6.39 eV/atom.
What are the ρ values for these records? In order: 5.09 4.61 11.72 9.20 10.73 6.27 Mg/m³.
What are the total moment values for these records? In order: 0.00 1.60 0.00 0.00 0.00 1.69 Bohr magnetons per cell.